Record 1
VASP calculation (PBE) on an optimized crystal structure of Ac12Sn6C.

- Mass density: 7.70 Mg/m³
- Symmetry: No. 148
- DFT total energy: -4.785 eV per atom

a b c (Å): 9.067 9.067 9.067
angles (deg): 92.34 92.34 92.34
Fractional positions:
Ac1 0.045 0.928 0.708
Ac2 0.072 0.292 0.955
Ac3 0.193 0.417 0.549
Ac4 0.292 0.955 0.072
Ac5 0.417 0.549 0.193
Ac6 0.451 0.807 0.583
Ac7 0.549 0.193 0.417
Ac8 0.583 0.451 0.807
Ac9 0.708 0.045 0.928
Ac10 0.807 0.583 0.451
Ac11 0.928 0.708 0.045
Ac12 0.955 0.072 0.292
Sn1 0.141 0.746 0.364
Sn2 0.254 0.636 0.859
Sn3 0.364 0.141 0.746
Sn4 0.636 0.859 0.254
Sn5 0.746 0.364 0.141
Sn6 0.859 0.254 0.636
C1 0.000 0.000 0.000

Record 2
VASP calculation (PBE) on an optimized crystal structure of Ac6Sn2C.

- Mass density: 7.06 Mg/m³
- Symmetry: No. 136
- DFT total energy: -4.730 eV per atom

a b c (Å): 7.422 7.422 13.762
angles (deg): 90.00 90.00 90.00
Fractional positions:
Ac1 0.189 0.189 0.139
Ac2 0.189 0.189 0.861
Ac3 0.231 0.231 0.500
Ac4 0.269 0.731 0.000
Ac5 0.311 0.689 0.361
Ac6 0.311 0.689 0.639
Ac7 0.689 0.311 0.361
Ac8 0.689 0.311 0.639
Ac9 0.731 0.269 0.000
Ac10 0.769 0.769 0.500
Ac11 0.811 0.811 0.139
Ac12 0.811 0.811 0.861
Sn1 0.000 0.000 0.331
Sn2 0.000 0.000 0.669
Sn3 0.500 0.500 0.169
Sn4 0.500 0.500 0.831
C1 0.000 0.000 0.000
C2 0.500 0.500 0.500

Record 3
VASP calculation (PBE) on an optimized crystal structure of Ac12Sn3C5.

- Mass density: 7.69 Mg/m³
- Symmetry: No. 230
- DFT total energy: -5.424 eV per atom

a b c (Å): 15.215 15.215 15.215
angles (deg): 109.47 109.47 109.47
Fractional positions:
Ac1 0.019 0.202 0.116
Ac2 0.019 0.318 0.904
Ac3 0.086 0.702 0.682
Ac4 0.086 0.884 0.404
Ac5 0.096 0.616 0.414
Ac6 0.096 0.981 0.682
Ac7 0.116 0.019 0.202
Ac8 0.116 0.596 0.914
Ac9 0.182 0.202 0.586
Ac10 0.182 0.481 0.596
Ac11 0.202 0.116 0.019
Ac12 0.202 0.586 0.182
Ac13 0.298 0.318 0.914
Ac14 0.298 0.481 0.384
Ac15 0.318 0.904 0.019
Ac16 0.318 0.914 0.298
Ac17 0.384 0.298 0.481
Ac18 0.384 0.586 0.904
Ac19 0.404 0.086 0.884
Ac20 0.404 0.818 0.519
Ac21 0.414 0.096 0.616
Ac22 0.414 0.818 0.798
Ac23 0.481 0.384 0.298
Ac24 0.481 0.596 0.182
Ac25 0.519 0.404 0.818
Ac26 0.519 0.616 0.702
Ac27 0.586 0.182 0.202
Ac28 0.586 0.904 0.384
Ac29 0.596 0.182 0.481
Ac30 0.596 0.914 0.116
Ac31 0.616 0.414 0.096
Ac32 0.616 0.702 0.519
Ac33 0.682 0.086 0.702
Ac34 0.682 0.096 0.981
Ac35 0.702 0.519 0.616
Ac36 0.702 0.682 0.086
Ac37 0.798 0.414 0.818
Ac38 0.798 0.884 0.981
Ac39 0.818 0.519 0.404
Ac40 0.818 0.798 0.414
Ac41 0.884 0.404 0.086
Ac42 0.884 0.981 0.798
Ac43 0.904 0.019 0.318
Ac44 0.904 0.384 0.586
Ac45 0.914 0.116 0.596
Ac46 0.914 0.298 0.318
Ac47 0.981 0.682 0.096
Ac48 0.981 0.798 0.884
Sn1 0.125 0.250 0.375
Sn2 0.125 0.375 0.750
Sn3 0.250 0.375 0.125
Sn4 0.250 0.875 0.625
Sn5 0.375 0.125 0.250
Sn6 0.375 0.750 0.125
Sn7 0.625 0.250 0.875
Sn8 0.625 0.875 0.750
Sn9 0.750 0.125 0.375
Sn10 0.750 0.625 0.875
Sn11 0.875 0.625 0.250
Sn12 0.875 0.750 0.625
C1 0.000 0.000 0.000
C2 0.000 0.000 0.500
C3 0.000 0.500 0.000
C4 0.000 0.500 0.500
C5 0.125 0.750 0.875
C6 0.125 0.875 0.250
C7 0.250 0.125 0.875
C8 0.250 0.625 0.375
C9 0.375 0.250 0.625
C10 0.375 0.625 0.750
C11 0.500 0.000 0.000
C12 0.500 0.000 0.500
C13 0.500 0.500 0.000
C14 0.500 0.500 0.500
C15 0.625 0.375 0.250
C16 0.625 0.750 0.375
C17 0.750 0.375 0.625
C18 0.750 0.875 0.125
C19 0.875 0.125 0.750
C20 0.875 0.250 0.125

Record 4
VASP calculation (PBE) on an optimized crystal structure of Ac2Tm2Sn2C.

- Mass density: 8.40 Mg/m³
- Symmetry: No. 139
- DFT total energy: -5.621 eV per atom

a b c (Å): 9.294 9.294 9.294
angles (deg): 149.52 149.52 43.64
Fractional positions:
Ac1 0.162 0.162 0.000
Ac2 0.838 0.838 0.000
Tm1 0.000 0.500 0.500
Tm2 0.500 0.000 0.500
Sn1 0.372 0.372 0.000
Sn2 0.628 0.628 0.000
C1 0.000 0.000 0.000